DFT (PBE) results for an optimized crystal structure of Na4HfTe4.

Summary:
V ... 726.7 Å³/cell
Calculated total energy ... -3.94 eV/atom
Energy relative to the elements, uncorrected ... -0.85 eV/atom

Lattice parameters (Å, degrees): 7.4350 7.4350 13.1469 90.00 90.00 90.00
Space group I-42m (No. 121)
Inequivalent atoms, fractional coordinates:
Na1 0.0000 0.0000 0.2076 (multiplicity 4)
Na2 0.0000 0.5000 0.0000 (multiplicity 4)
Hf1 0.0000 0.0000 0.5000 (multiplicity 2)
Te1 0.2117 0.2117 0.6224 (multiplicity 8)

---

DFT (PBE) results for an optimized crystal structure of NaHfTe2.

Summary:
V ... 103.0 Å³/cell
Calculated total energy ... -5.06 eV/atom
Energy relative to the elements, uncorrected ... -0.67 eV/atom

Lattice parameters (Å, degrees): 3.6079 3.6079 7.9125 90.00 90.00 90.00
Space group P4/mmm (No. 123)
Inequivalent atoms, fractional coordinates:
Na1 0.0000 0.0000 0.0000 (multiplicity 1)
Hf1 0.0000 0.0000 0.5000 (multiplicity 1)
Te1 0.5000 0.5000 0.2834 (multiplicity 2)

---

DFT (PBE) results for an optimized crystal structure of Na2Hf3Te8.

Summary:
V ... 904.5 Å³/cell
Calculated total energy ... -5.15 eV/atom
Energy relative to the elements, uncorrected ... -0.71 eV/atom

Lattice parameters (Å, degrees): 16.6813 8.0982 6.9458 90.00 105.42 90.00
Space group C2/m (No. 12)
Inequivalent atoms, fractional coordinates:
Na1 0.2464 0.0000 0.1595 (multiplicity 4)
Hf1 0.0000 0.2447 0.5000 (multiplicity 4)
Hf2 0.0000 0.5000 0.0000 (multiplicity 2)
Te1 0.1027 0.0000 0.3946 (multiplicity 4)
Te2 0.1071 0.2572 0.8980 (multiplicity 8)
Te3 0.1085 0.5000 0.4010 (multiplicity 4)

---

Which formula does entry 1 have?
Na4HfTe4